Entry from Alexandria: a relaxed MnC2O6 crystal (GGA+U).

Cell and atoms, written as POSCAR:
```
MnC2O6
1.0
-3.4012 -1.9172 3.4465
-1.3414 -5.0171 -0.3892
4.8981 -5.8615 7.3674
O Mn C
12 2 4
direct
0.4047 0.7346 0.6098
0.2654 0.5953 0.8902
0.7346 0.4047 0.1098
0.5702 0.8202 0.2500
0.1557 0.9856 0.1098
0.8202 0.5702 0.7500
0.8443 0.0144 0.8902
0.1798 0.4298 0.2500
0.0144 0.8443 0.3902
0.4298 0.1798 0.7500
0.9856 0.1557 0.6098
0.5953 0.2654 0.3902
0.3750 0.6250 0.2500
0.6250 0.3750 0.7500
0.9148 0.1648 0.1704
0.0852 0.8352 0.8296
0.1648 0.9148 0.6704
0.8352 0.0852 0.3296
```

Results
Energy above the most stable polymorph in this dataset ... 544 meV/atom
Magnetic moment ... 2.0 Bohr magnetons per cell
ρ ... 2.527 Mg/m³
Crystal system ... orthorhombic
SG ... No. 70